Entry 1:
{"formula": "MgZn2Au", "functional": "PBE", "state": "relaxed", "lattice_angstrom": [[-3.833, 3.833, 2.651], [3.833, -3.833, 2.651], [3.833, 3.833, -2.651]], "species": ["Mg", "Mg", "Zn", "Zn", "Zn", "Zn", "Au", "Au"], "fractional_positions": [[0.000, 0.000, 0.000], [0.750, 0.250, 0.500], [0.160, 0.625, 0.035], [0.375, 0.410, 0.535], [0.590, 0.125, 0.965], [0.875, 0.840, 0.465], [0.250, 0.750, 0.500], [0.500, 0.500, 0.000]], "formation_energy_mev_per_atom": -61.5, "rho_g_cm3": 7.50, "crystal_system": "tetragonal", "magnetic_moment_mub_per_atom": 0.000}

***

Entry 2:
{"formula": "CeEuZnGa", "functional": "PBE", "state": "relaxed", "lattice_angstrom": [[0.000, 3.693, 3.693], [3.693, 0.000, 3.693], [3.693, 3.693, 0.000]], "species": ["Ce", "Eu", "Zn", "Ga"], "fractional_positions": [[0.000, 0.000, 0.000], [0.500, 0.500, 0.500], [0.750, 0.750, 0.750], [0.250, 0.250, 0.250]], "formation_energy_mev_per_atom": -325.0, "rho_g_cm3": 7.04, "crystal_system": "cubic", "magnetic_moment_mub_per_atom": 2.046}

***

Entry 3:
{"formula": "CoIrPd2Pb", "functional": "PBE", "state": "relaxed", "lattice_angstrom": [[4.954, 0.000, 0.000], [0.000, 4.954, 0.000], [0.000, 0.000, 4.524]], "species": ["Co", "Ir", "Pd", "Pd", "Pb"], "fractional_positions": [[0.000, 0.000, 0.000], [0.000, 0.000, 0.500], [0.000, 0.500, 0.500], [0.500, 0.000, 0.500], [0.500, 0.500, 0.000]], "formation_energy_mev_per_atom": 896.5, "rho_g_cm3": 10.04, "crystal_system": "tetragonal", "magnetic_moment_mub_per_atom": 0.682}

***

Entry 4:
{"formula": "YZnCuI2", "functional": "PBE", "state": "relaxed", "lattice_angstrom": [[5.952, 0.000, 0.000], [0.000, 5.952, 0.000], [0.000, 0.000, 6.041]], "species": ["Y", "Zn", "Cu", "I", "I"], "fractional_positions": [[0.000, 0.000, 0.000], [0.000, 0.000, 0.500], [0.500, 0.500, 0.500], [0.000, 0.500, 0.000], [0.500, 0.000, 0.000]], "e_form_raw_ev_per_atom": 0.178, "rho_g_cm3": 3.66, "crystal_system": "tetragonal", "magnetic_moment_mub_per_atom": 0.121}

***

| no. | volume (Å³ per atom) |
| --- | --- |
| 1 | 19.48 |
| 2 | 25.18 |
| 3 | 22.21 |
| 4 | 42.80 |